First-principles (PBE) data for an optimized crystal structure of KNaSi, as listed in Alexandria.

abc: 3.8925 6.6459 8.6404
angles: 77.98 77.04 89.93
With the nearest neighbours (Å) after each atom.
Space group P-1 (No. 2)
Inequivalent atoms, fractional coordinates:
K (0.1468, 0.3496, 0.2053)  4 Si 3.43-3.63
Na (0.4112, 0.1791, 0.6765)  3 Si 3.10-3.17
Si (0.2351, 0.8960, 0.0304)  2 Si 2.38

- uncorrected energy (eV/atom) = -2.57
- raw formation energy (meV/atom) = 47
- mass density (g cm⁻³) = 1.41
- distance to the lowest polymorph of the same formula (eV per formula unit) = 0.00
- magnetic moment (μB per formula unit) = 0.0